(1)
NbTeP after structural relaxation. Source: Alexandria, functional PBE.

N(E_F), states/eV/atom: 0.29
Uncorrected formation energy, eV per atom: -0.35

abc: 7.185 6.419 6.340
angles: 90.00 108.19 90.00
Space group P2_1/c (No. 14)
Inequivalent atoms, fractional coordinates:
1 Nb 0.047 0.181 0.330 x4
2 Te 0.325 0.046 0.703 x4
3 P 0.161 0.551 0.569 x4

---

(2)
Ac3BiH after structural relaxation. Source: Alexandria, functional PBE.

N(E_F), states/eV/atom: 0.98
Raw total energy, Ry per atom: -0.317

abc: 5.371 5.371 5.371
angles: 90.00 90.00 90.00
Space group Pm-3m (No. 221)
Inequivalent atoms, fractional coordinates:
1 Ac 0.000 0.000 0.500 x3
2 Bi 0.500 0.500 0.500 x1
3 H 0.000 0.000 0.000 x1

---

(3)
TbMgTl after structural relaxation. Source: Alexandria, functional PBE.

N(E_F), states/eV/atom: 0.13
Energy relative to the elements, kJ/mol of atoms: -17.6

abc: 7.044 7.044 7.044
angles: 90.00 90.00 90.00
Space group F-43m (No. 216)
Inequivalent atoms, fractional coordinates:
1 Tb 0.000 0.000 0.000 x4
2 Mg 0.000 0.000 0.500 x4
3 Tl 0.250 0.250 0.250 x4

---

(4)
RbBaTlCd after structural relaxation. Source: Alexandria, functional PBE.

N(E_F), states/eV/atom: 1.07
Energy relative to the elements, kJ/mol of atoms: -10.7

abc: 8.651 8.651 8.651
angles: 90.00 90.00 90.00
Space group F-43m (No. 216)
Inequivalent atoms, fractional coordinates:
1 Rb 0.000 0.000 0.000 x4
2 Ba 0.000 0.000 0.500 x4
3 Tl 0.250 0.250 0.250 x4
4 Cd 0.250 0.250 0.750 x4

---

(5)
CuPS2 after structural relaxation. Source: Alexandria, functional PBE.

N(E_F), states/eV/atom: 0.03
Uncorrected formation energy, eV per atom: 0.00

abc: 4.0462 4.0462 5.5061
angles: 90.00 90.00 120.00
Space group P3m1 (No. 156)
Inequivalent atoms, fractional coordinates:
1 Cu 0.0000 0.0000 0.0000 x1
2 P 0.6667 0.3333 0.4989 x1
3 S 0.0000 0.0000 0.4114 x1
4 S 0.6667 0.3333 0.8803 x1

---

Which of these has the lowest N(E_F)? CuPS2